# 1
BiW3CN (PBE, relaxed); symmetry = P-3m1; uncorrected energy = -57.268 eV/f.u.; theoretical density = 14.980 Mg/m³
1.0
3.1749 0.0000 0.0000
-1.5874 2.7495 0.0000
0.0000 0.0000 19.9757
Bi W C N
2 6 2 2
direct
0.0000 0.0000 0.2464
0.0000 0.0000 0.7536
0.0000 0.0000 0.0000
0.0000 0.0000 0.5000
0.3333 0.6667 0.1121
0.3333 0.6667 0.3825
0.6667 0.3333 0.6175
0.6667 0.3333 0.8879
0.3333 0.6667 0.5647
0.6667 0.3333 0.4353
0.3333 0.6667 0.9411
0.6667 0.3333 0.0589

***

# 2
SrGaGePt2 (PBE, relaxed); symmetry = P4/nmm; energy above the lowest structure with this stoichiometry = 0.000 eV per atom; uncorrected energy = -25.622 eV/f.u.; theoretical density = 10.179 Mg/m³
1.0
4.4315 0.0000 0.0000
0.0000 4.4315 0.0000
0.0000 0.0000 10.3036
Sr Ga Ge Pt
2 2 2 4
direct
0.2500 0.2500 0.2479
0.7500 0.7500 0.7521
0.2500 0.7500 0.5000
0.7500 0.2500 0.5000
0.2500 0.2500 0.8756
0.7500 0.7500 0.1244
0.2500 0.2500 0.6306
0.2500 0.7500 0.0000
0.7500 0.2500 0.0000
0.7500 0.7500 0.3694

***

# 3
NaPrSO (PBE, relaxed); symmetry = P2_1; energy above the lowest structure with this stoichiometry = 0.001 eV per atom; uncorrected energy = -23.962 eV/f.u.; theoretical density = 4.091 Mg/m³
1.0
5.7464 0.0000 0.0000
0.0000 5.7456 0.0000
-2.7302 0.0000 10.4236
Na Pr S O
4 4 4 4
direct
0.0442 0.0000 0.0904
0.4535 0.9974 0.9094
0.5465 0.4974 0.0906
0.9558 0.5000 0.9096
0.0553 0.2568 0.6153
0.4447 0.2566 0.3848
0.5553 0.7566 0.6152
0.9447 0.7568 0.3847
0.0838 0.4939 0.1767
0.4175 0.4930 0.8235
0.5825 0.9930 0.1765
0.9162 0.9939 0.8233
0.2503 0.0072 0.5000
0.2500 0.5080 0.5000
0.7500 0.0080 0.5000
0.7497 0.5072 0.5000

***

# 4
SmYC2Cl2 (PBE, relaxed); symmetry = Cm; uncorrected energy = -40.724 eV/f.u.; theoretical density = 3.884 Mg/m³
1.0
3.5144 -1.8963 0.0000
3.5144 1.8963 0.0000
-0.9726 0.0000 10.7198
Sm Y C Cl
1 1 2 2
direct
0.0000 0.0000 0.0000
0.7087 0.7087 0.7203
0.2823 0.2823 0.8918
0.4270 0.4270 0.8196
0.0352 0.0352 0.5633
0.6780 0.6780 0.1627

***

Copy entry 4 word for word.
SmYC2Cl2 (PBE, relaxed); symmetry = Cm; uncorrected energy = -40.724 eV/f.u.; theoretical density = 3.884 Mg/m³
1.0
3.5144 -1.8963 0.0000
3.5144 1.8963 0.0000
-0.9726 0.0000 10.7198
Sm Y C Cl
1 1 2 2
direct
0.0000 0.0000 0.0000
0.7087 0.7087 0.7203
0.2823 0.2823 0.8918
0.4270 0.4270 0.8196
0.0352 0.0352 0.5633
0.6780 0.6780 0.1627

***

Q: What is the formula in the second record?
A: SrGaGePt2

***

Q: Which of these has the highest theoretical density?
A: BiW3CN

***

What did the first record say?
BiW3CN (PBE, relaxed); symmetry = P-3m1; uncorrected energy = -57.268 eV/f.u.; theoretical density = 14.980 Mg/m³
1.0
3.1749 0.0000 0.0000
-1.5874 2.7495 0.0000
0.0000 0.0000 19.9757
Bi W C N
2 6 2 2
direct
0.0000 0.0000 0.2464
0.0000 0.0000 0.7536
0.0000 0.0000 0.0000
0.0000 0.0000 0.5000
0.3333 0.6667 0.1121
0.3333 0.6667 0.3825
0.6667 0.3333 0.6175
0.6667 0.3333 0.8879
0.3333 0.6667 0.5647
0.6667 0.3333 0.4353
0.3333 0.6667 0.9411
0.6667 0.3333 0.0589